DFT (GGA-PBE) results for a geometry-optimized TiBe2O4 structure.

Lattice parameters (Å, degrees): 3.922 3.922 4.358 90.00 90.00 90.00
Space group P-42m (No. 111)
Inequivalent atoms, fractional coordinates:
Ti 0.000 0.000 0.000
Be 0.000 0.500 0.500
O 0.246 0.246 0.285

Summary:
* formation energy without anion corrections: -2.680 eV/atom
* electronic total energy: -7.705 eV per atom
* calculated volume: 67.01 Å³/cell